1.
Density functional theory data (PBE-GGA) for a relaxed Te2P2Br crystal.

The structure in POSCAR format:
```
Te2P2Br
1.0
-2.389 2.389 6.147
2.389 -2.389 6.147
2.389 2.389 -6.147
Te P Br
2 2 1
Direct
0.157 0.157 0.000
0.843 0.843 0.000
0.250 0.750 0.500
0.750 0.250 0.500
0.500 0.500 0.000
```

Calculated values
Space group: I4/mmm (139)
Energy relative to the elements, uncorrected (meV/atom): 209
M_tot (μB per atom): 0.0000
Theoretical density (kg/m3): 4700
Final energy (eV per atom): -3.546

2.
Density functional theory data (PBE-GGA) for a relaxed YTe2PBr crystal.

The structure in POSCAR format:
```
YTe2PBr
1.0
5.476 0.000 0.000
0.000 5.476 0.000
0.000 0.000 4.907
Y Te P Br
1 2 1 1
Direct
0.000 0.000 0.000
0.000 0.500 0.500
0.500 0.000 0.500
0.500 0.500 0.000
0.500 0.500 0.500
```

Calculated values
Space group: P4/mmm (123)
Energy relative to the elements, uncorrected (meV/atom): 352
M_tot (μB per atom): 0.0000
Theoretical density (kg/m3): 5134
Final energy (eV per atom): -3.614

3.
Density functional theory data (PBE-GGA) for a relaxed ThPBr crystal.

The structure in POSCAR format:
```
ThPBr
1.0
3.926 0.000 0.000
0.000 4.213 0.000
1.002 0.016 11.804
Th P Br
2 2 2
Direct
0.212 0.249 0.147
0.788 0.751 0.853
0.275 0.250 0.903
0.725 0.750 0.097
0.337 0.751 0.661
0.663 0.249 0.339
```

Calculated values
Space group: P-1 (2)
Energy relative to the elements, uncorrected (meV/atom): -1461
M_tot (μB per atom): 0.0000
Polymorph energy (0 for the lowest one) (meV per atom): 0.0
Theoretical density (kg/m3): 5833
Final energy (eV per atom): -6.295

4.
Density functional theory data (PBE-GGA) for a relaxed ThPBr crystal.

The structure in POSCAR format:
```
ThPBr
1.0
4.324 0.000 0.000
-2.162 3.744 0.000
0.000 0.000 6.804
Th P Br
1 1 1
Direct
0.000 0.000 0.000
0.667 0.333 0.168
0.333 0.667 0.722
```

Calculated values
Space group: P3m1 (156)
Energy relative to the elements, uncorrected (meV/atom): -1206
M_tot (μB per atom): 0.0000
Polymorph energy (0 for the lowest one) (meV per atom): 254.9
Theoretical density (kg/m3): 5170
Final energy (eV per atom): -6.040

5.
Density functional theory data (PBE-GGA) for a relaxed TiPBr crystal.

The structure in POSCAR format:
```
TiPBr
1.0
9.265 -1.718 0.000
9.265 1.718 0.000
-0.067 0.000 4.884
Ti P Br
2 2 2
Direct
0.000 0.000 0.000
0.122 0.122 0.489
0.537 0.537 0.337
0.576 0.576 0.797
0.396 0.396 0.889
0.725 0.725 0.372
```

Calculated values
Space group: Cm (8)
Energy relative to the elements, uncorrected (meV/atom): -835
M_tot (μB per atom): 0.0000
Polymorph energy (0 for the lowest one) (meV per atom): 0.0
Theoretical density (kg/m3): 3391
Final energy (eV per atom): -5.828

6.
Density functional theory data (PBE-GGA) for a relaxed Ti2P2Br crystal.

The structure in POSCAR format:
```
Ti2P2Br
1.0
7.106 0.000 0.000
0.000 7.106 0.000
0.000 0.000 3.273
Ti P Br
4 4 2
Direct
0.148 0.352 0.000
0.352 0.852 0.000
0.648 0.148 0.000
0.852 0.648 0.000
0.130 0.630 0.500
0.370 0.130 0.500
0.630 0.870 0.500
0.870 0.370 0.500
0.000 0.000 0.000
0.500 0.500 0.000
```

Calculated values
Space group: P4/mbm (127)
Energy relative to the elements, uncorrected (meV/atom): -777
M_tot (μB per atom): 0.0000
Theoretical density (kg/m3): 4774
Final energy (eV per atom): -6.433

7.
Density functional theory data (PBE-GGA) for a relaxed TiPBr3 crystal.

The structure in POSCAR format:
```
TiPBr3
1.0
5.169 0.000 0.000
0.000 5.169 0.000
0.000 0.000 5.169
Ti P Br
1 1 3
Direct
0.000 0.000 0.000
0.500 0.500 0.500
0.000 0.000 0.500
0.000 0.500 0.000
0.500 0.000 0.000
```

Calculated values
Space group: Pm-3m (221)
Energy relative to the elements, uncorrected (meV/atom): -70
M_tot (μB per atom): 0.3986
Polymorph energy (0 for the lowest one) (meV per atom): 0.0
Theoretical density (kg/m3): 3830
Final energy (eV per atom): -3.734

8.
Density functional theory data (PBE-GGA) for a relaxed TiPBr2 crystal.

The structure in POSCAR format:
```
TiPBr2
1.0
1.641 0.948 10.832
-1.641 0.948 10.832
0.000 -1.895 10.832
Ti P Br
1 1 2
Direct
0.000 0.000 0.000
0.500 0.500 0.500
0.388 0.388 0.388
0.612 0.612 0.612
```

Calculated values
Space group: R-3m (166)
Energy relative to the elements, uncorrected (meV/atom): -111
M_tot (μB per atom): 0.1845
Polymorph energy (0 for the lowest one) (meV per atom): 250.2
Theoretical density (kg/m3): 3920
Final energy (eV per atom): -4.274

9.
Density functional theory data (PBE-GGA) for a relaxed TiPBr crystal.

The structure in POSCAR format:
```
TiPBr
1.0
3.555 0.000 0.000
1.775 5.627 0.000
0.015 1.728 6.513
Ti P Br
2 2 2
Direct
0.000 0.000 0.000
0.256 0.488 0.805
0.455 0.095 0.714
0.635 0.729 0.923
0.153 0.690 0.432
0.388 0.223 0.184
```

Calculated values
Space group: P1 (1)
Energy relative to the elements, uncorrected (meV/atom): -750
M_tot (μB per atom): 0.0000
Polymorph energy (0 for the lowest one) (meV per atom): 85.7
Theoretical density (kg/m3): 4047
Final energy (eV per atom): -5.742

10.
Density functional theory data (PBE-GGA) for a relaxed TiPBr crystal.

The structure in POSCAR format:
```
TiPBr
1.0
1.823 -9.337 0.000
1.823 9.337 0.000
0.000 0.000 5.380
Ti P Br
2 2 2
Direct
0.048 0.952 0.750
0.952 0.048 0.250
0.500 0.500 0.000
0.500 0.500 0.500
0.174 0.826 0.750
0.826 0.174 0.250
```

Calculated values
Space group: Cmcm (63)
Energy relative to the elements, uncorrected (meV/atom): -821
M_tot (μB per atom): 0.0000
Polymorph energy (0 for the lowest one) (meV per atom): 14.2
Theoretical density (kg/m3): 2878
Final energy (eV per atom): -5.814

11.
Density functional theory data (PBE-GGA) for a relaxed TiPBr crystal.

The structure in POSCAR format:
```
TiPBr
1.0
3.078 -1.777 0.000
3.078 1.777 0.000
-0.045 0.000 6.532
Ti P Br
1 1 1
Direct
0.000 0.000 0.000
0.332 0.332 0.810
0.669 0.669 0.273
```

Calculated values
Space group: Cm (8)
Energy relative to the elements, uncorrected (meV/atom): -776
M_tot (μB per atom): 0.0000
Polymorph energy (0 for the lowest one) (meV per atom): 59.1
Theoretical density (kg/m3): 3689
Final energy (eV per atom): -5.769

12.
Density functional theory data (PBE-GGA) for a relaxed TiPBr crystal.

The structure in POSCAR format:
```
TiPBr
1.0
6.275 -1.728 0.000
6.275 1.728 0.000
-1.267 0.000 5.428
Ti P Br
2 2 2
Direct
0.093 0.093 0.304
0.907 0.907 0.696
0.500 0.500 0.000
0.500 0.500 0.500
0.242 0.242 0.740
0.758 0.758 0.260
```

Calculated values
Space group: C2/m (12)
Energy relative to the elements, uncorrected (meV/atom): -745
M_tot (μB per atom): 0.0000
Polymorph energy (0 for the lowest one) (meV per atom): 90.4
Theoretical density (kg/m3): 4478
Final energy (eV per atom): -5.738

13.
Density functional theory data (PBE-GGA) for a relaxed TiPBr2 crystal.

The structure in POSCAR format:
```
TiPBr2
1.0
0.000 3.356 3.356
3.356 0.000 3.356
3.356 3.356 0.000
Ti P Br
1 1 2
Direct
0.000 0.000 0.000
0.500 0.500 0.500
0.250 0.250 0.250
0.750 0.750 0.750
```

Calculated values
Space group: Fm-3m (225)
Energy relative to the elements, uncorrected (meV/atom): 292
M_tot (μB per atom): 0.0386
Polymorph energy (0 for the lowest one) (meV per atom): 653.6
Theoretical density (kg/m3): 5242
Final energy (eV per atom): -3.871

14.
Density functional theory data (PBE-GGA) for a relaxed TiPBr2 crystal.

The structure in POSCAR format:
```
TiPBr2
1.0
-4.773 4.773 2.373
4.773 -4.773 2.373
4.773 4.773 -2.373
Ti P Br
2 2 4
Direct
0.000 0.000 0.000
0.750 0.250 0.500
0.250 0.750 0.500
0.500 0.500 0.000
0.375 0.032 0.157
0.782 0.625 0.657
0.875 0.218 0.843
0.968 0.125 0.343
```

Calculated values
Space group: I-42d (122)
Energy relative to the elements, uncorrected (meV/atom): -362
M_tot (μB per atom): 0.0000
Polymorph energy (0 for the lowest one) (meV per atom): 0.0
Theoretical density (kg/m3): 3665
Final energy (eV per atom): -4.524

15.
Density functional theory data (PBE-GGA) for a relaxed TiPBr3 crystal.

The structure in POSCAR format:
```
TiPBr3
1.0
5.161 0.000 0.000
0.000 5.161 0.000
0.000 0.000 5.161
Ti P Br
1 1 3
Direct
0.000 0.000 0.000
0.500 0.500 0.500
0.000 0.500 0.500
0.500 0.000 0.500
0.500 0.500 0.000
```

Calculated values
Space group: Pm-3m (221)
Energy relative to the elements, uncorrected (meV/atom): 576
M_tot (μB per atom): 0.0591
Polymorph energy (0 for the lowest one) (meV per atom): 645.7
Theoretical density (kg/m3): 3849
Final energy (eV per atom): -3.088

16.
Density functional theory data (PBE-GGA) for a relaxed TiPBr crystal.

The structure in POSCAR format:
```
TiPBr
1.0
5.236 0.000 0.000
0.000 3.529 0.000
0.000 0.000 9.307
Ti P Br
2 2 2
Direct
0.000 0.000 0.000
0.499 0.000 0.222
0.229 0.500 0.131
0.760 0.500 0.124
0.012 0.500 0.789
0.511 0.000 0.476
```

Calculated values
Space group: Pm (6)
Energy relative to the elements, uncorrected (meV/atom): -828
M_tot (μB per atom): 0.0000
Polymorph energy (0 for the lowest one) (meV per atom): 7.1
Theoretical density (kg/m3): 3066
Final energy (eV per atom): -5.821

17.
Density functional theory data (PBE-GGA) for a relaxed TiP2Br crystal.

The structure in POSCAR format:
```
TiP2Br
1.0
-2.170 2.170 9.030
2.170 -2.170 9.030
2.170 2.170 -9.030
Ti P Br
2 4 2
Direct
0.000 0.000 0.000
0.750 0.250 0.500
0.375 0.182 0.307
0.818 0.125 0.193
0.875 0.068 0.693
0.932 0.625 0.807
0.250 0.750 0.500
0.500 0.500 0.000
```

Calculated values
Space group: I-42d (122)
Energy relative to the elements, uncorrected (meV/atom): -3
M_tot (μB per atom): 0.0000
Polymorph energy (0 for the lowest one) (meV per atom): 0.0
Theoretical density (kg/m3): 3705
Final energy (eV per atom): -5.100

18.
Density functional theory data (PBE-GGA) for a relaxed TiPBr crystal.

The structure in POSCAR format:
```
TiPBr
1.0
5.842 -1.763 0.000
5.842 1.763 0.000
-1.256 0.000 6.512
Ti P Br
2 2 2
Direct
0.000 0.000 0.000
0.236 0.236 0.767
0.612 0.612 0.887
0.864 0.864 0.687
0.118 0.118 0.403
0.366 0.366 0.151
```

Calculated values
Space group: Cm (8)
Energy relative to the elements, uncorrected (meV/atom): -762
M_tot (μB per atom): 0.0000
Polymorph energy (0 for the lowest one) (meV per atom): 73.6
Theoretical density (kg/m3): 3930
Final energy (eV per atom): -5.754

19.
Density functional theory data (PBE-GGA) for a relaxed TiP2Br crystal.

The structure in POSCAR format:
```
TiP2Br
1.0
0.000 3.249 3.249
3.249 0.000 3.249
3.249 3.249 0.000
Ti P Br
1 2 1
Direct
0.000 0.000 0.000
0.250 0.250 0.250
0.750 0.750 0.750
0.500 0.500 0.500
```

Calculated values
Space group: Fm-3m (225)
Energy relative to the elements, uncorrected (meV/atom): 548
M_tot (μB per atom): 0.0000
Polymorph energy (0 for the lowest one) (meV per atom): 551.0
Theoretical density (kg/m3): 4592
Final energy (eV per atom): -4.549

20.
Density functional theory data (PBE-GGA) for a relaxed TiPBr crystal.

The structure in POSCAR format:
```
TiPBr
1.0
6.637 -1.782 0.000
6.637 1.782 0.000
-2.105 0.000 5.277
Ti P Br
2 2 2
Direct
0.000 0.000 0.000
0.112 0.112 0.553
0.600 0.600 0.860
0.629 0.629 0.269
0.336 0.336 0.773
0.909 0.909 0.330
```

Calculated values
Space group: Cm (8)
Energy relative to the elements, uncorrected (meV/atom): -812
M_tot (μB per atom): 0.0002
Polymorph energy (0 for the lowest one) (meV per atom): 23.5
Theoretical density (kg/m3): 4223
Final energy (eV per atom): -5.804